a:
Crystalline Al2SbS2 at its relaxed geometry. Source: Alexandria, functional GGA-PBE.

Summary:
Its calculated volume is 21.28 A^3/atom.

Cell: 4.357 4.357 11.210 Å, 90.00 90.00 90.00°
Space group I4/mmm (No. 139)
Inequivalent atoms, fractional coordinates:
Al 0.000 0.500 0.250
Sb 0.000 0.000 0.000
S 0.000 0.000 0.342


b:
Crystalline Al2SbS2 at its relaxed geometry. Source: Alexandria, functional GGA-PBE.

Summary:
Its calculated volume is 20.83 A^3/atom.

Cell: 7.788 7.788 3.435 Å, 90.00 90.00 90.00°
Space group P4/mbm (No. 127)
Inequivalent atoms, fractional coordinates:
Al 0.200 0.300 0.000
Sb 0.000 0.000 0.500
S 0.148 0.648 0.500


Quick ranking, most stable first: a, b.


a:
Crystalline AlSb2TeS at its relaxed geometry. Source: Alexandria, functional GGA-PBE.

Summary:
Its calculated volume is 28.74 A^3/atom.

Cell: 5.295 5.295 5.126 Å, 90.00 90.00 90.00°
Space group P4/mmm (No. 123)
Inequivalent atoms, fractional coordinates:
Al 0.000 0.000 0.000
Sb 0.000 0.500 0.000
Te 0.000 0.000 0.500
S 0.500 0.500 0.500


b:
Crystalline AlSb2TeS at its relaxed geometry. Source: Alexandria, functional GGA-PBE.

Summary:
Its calculated volume is 29.05 A^3/atom.

Cell: 5.235 5.235 5.299 Å, 90.00 90.00 90.00°
Space group P4/mmm (No. 123)
Inequivalent atoms, fractional coordinates:
Al 0.000 0.000 0.000
Sb 0.000 0.500 0.500
Te 0.500 0.500 0.000
S 0.500 0.500 0.500


Quick ranking, most stable first: b, a.


a:
Crystalline ScAl3S at its relaxed geometry. Source: Alexandria, functional GGA-PBE.

Summary:
Its calculated volume is 30.87 A^3/atom.

Cell: 5.364 5.364 5.364 Å, 90.00 90.00 90.00°
Space group Pm-3m (No. 221)
Inequivalent atoms, fractional coordinates:
Sc 0.000 0.000 0.000
Al 0.000 0.000 0.500
S 0.500 0.500 0.500


b:
Crystalline ScAl3S at its relaxed geometry. Source: Alexandria, functional GGA-PBE.

Summary:
Its calculated volume is 20.92 A^3/atom.

Cell: 4.712 4.712 4.712 Å, 90.00 90.00 90.00°
Space group Pm-3m (No. 221)
Inequivalent atoms, fractional coordinates:
Sc 0.000 0.000 0.000
Al 0.000 0.500 0.500
S 0.500 0.500 0.500


Quick ranking, most stable first: b, a.


a:
Crystalline ScAlS3 at its relaxed geometry. Source: Alexandria, functional GGA-PBE.

Summary:
Its calculated volume is 24.50 A^3/atom.

Cell: 6.244 3.705 10.671 Å, 90.00 97.07 90.00°
Space group P2_1/m (No. 11)
Inequivalent atoms, fractional coordinates:
Sc 0.008 0.250 0.341
Al 0.439 0.250 0.758
S 0.206 0.750 0.242
S 0.226 0.250 0.566
S 0.309 0.750 0.848


b:
Crystalline ScAlS3 at its relaxed geometry. Source: Alexandria, functional GGA-PBE.

Summary:
Its calculated volume is 23.93 A^3/atom.

Cell: 4.928 4.928 4.928 Å, 90.00 90.00 90.00°
Space group Pm-3m (No. 221)
Inequivalent atoms, fractional coordinates:
Sc 0.000 0.000 0.000
Al 0.500 0.500 0.500
S 0.000 0.000 0.500


c:
Crystalline ScAlS3 at its relaxed geometry. Source: Alexandria, functional GGA-PBE.

Summary:
Its calculated volume is 19.19 A^3/atom.

Cell: 4.578 4.578 4.578 Å, 90.00 90.00 90.00°
Space group Pm-3m (No. 221)
Inequivalent atoms, fractional coordinates:
Sc 0.000 0.000 0.000
Al 0.500 0.500 0.500
S 0.000 0.500 0.500


d:
Crystalline ScAlS3 at its relaxed geometry. Source: Alexandria, functional GGA-PBE.

Summary:
Its calculated volume is 24.88 A^3/atom.

Cell: 3.721 21.792 6.137 Å, 90.00 90.00 90.00°
Space group Ama2 (No. 40)
Inequivalent atoms, fractional coordinates:
Sc 0.250 0.176 0.000
Al 0.250 0.371 0.928
S 0.250 0.085 0.280
S 0.250 0.277 0.755
S 0.250 0.375 0.291


Quick ranking, most stable first: d, a, c, b.